# K2AgMoF6, optimized geometry, DFT PBE+U
# - energy above the most stable polymorph in this dataset (kJ/mol of formula units) = 3
# - ρ (kg/m3) = 3605
data_K2AgMoF6
_cell_length_a 9.003
_cell_length_b 9.003
_cell_length_c 9.003
_cell_angle_alpha 90.00
_cell_angle_beta 90.00
_cell_angle_gamma 90.00
_space_group_name_H-M_alt 'F m -3 m'
_space_group_IT_number 225
_space_group_name_Hall '-F 4 2 3'
loop_
_atom_site_label
_atom_site_type_symbol
_atom_site_fract_x
_atom_site_fract_y
_atom_site_fract_z
K1 K 0.250 0.250 0.250
Ag1 Ag 0.000 0.000 0.000
Mo1 Mo 0.000 0.000 0.500
F1 F 0.000 0.000 0.268